{"formula": "CeMn2GeO6", "functional": "PBE with a Hubbard U", "state": "relaxed", "spacegroup": "R3", "volume_a3_per_atom": 12.3, "total_energy_ry_per_atom": -0.561, "magnetic_moment_mub_per_fu": 10.00, "cell": [[-5.151, -1.456, 0.889], [-1.367, -2.430, 4.655], [-3.047, 3.011, 3.840]], "species": ["Ce", "Mn", "Mn", "Ge", "O", "O", "O", "O", "O", "O"], "fractional_positions": [[0.810, 0.810, 0.570], [0.534, 0.534, 0.399], [0.025, 0.025, 0.926], [0.318, 0.318, 0.045], [0.573, 0.218, 0.245], [0.218, 0.964, 0.245], [0.964, 0.573, 0.245], [0.412, 0.683, 0.780], [0.683, 0.125, 0.780], [0.125, 0.412, 0.780]]}